First-principles (GGA-PBE) data for a relaxed La2USe6 crystal, as listed in Alexandria.

```
La2USe6
1.0
7.9224 0.0000 0.0000
-3.9612 6.8610 0.0000
0.0000 0.0000 4.1432
La U Se
2 1 6
direct
0.3333 0.6667 0.0000
0.6667 0.3333 0.0000
0.0000 0.0000 0.5000
0.0000 0.4006 0.5000
0.0000 0.7554 0.0000
0.2446 0.2446 0.0000
0.4006 0.0000 0.5000
0.5994 0.5994 0.5000
0.7554 0.0000 0.0000
```

Crystal system: hexagonal
Space group: P-62m
Excess energy over the best structure of this formula in the dataset (eV per atom): 0.0272

=====

First-principles (GGA-PBE) data for a relaxed LaV3Se crystal, as listed in Alexandria.

```
LaV3Se
1.0
4.7115 0.0000 0.0000
0.0000 4.7115 0.0000
0.0000 0.0000 4.7115
La V Se
1 3 1
direct
0.0000 0.0000 0.0000
0.0000 0.5000 0.5000
0.5000 0.0000 0.5000
0.5000 0.5000 0.0000
0.5000 0.5000 0.5000
```

Crystal system: cubic
Space group: Pm-3m
Excess energy over the best structure of this formula in the dataset (eV per atom): 0.0000

=====

First-principles (GGA-PBE) data for a relaxed LaV3Se crystal, as listed in Alexandria.

```
LaV3Se
1.0
4.6419 0.0000 0.0000
0.0000 4.6419 0.0000
0.0000 0.0000 4.6419
La V Se
1 3 1
direct
0.0000 0.0000 0.0000
0.0000 0.0000 0.5000
0.0000 0.5000 0.0000
0.5000 0.0000 0.0000
0.5000 0.5000 0.5000
```

Crystal system: cubic
Space group: Pm-3m
Excess energy over the best structure of this formula in the dataset (eV per atom): 1.3230

=====

First-principles (GGA-PBE) data for a relaxed La3VSe crystal, as listed in Alexandria.

```
La3VSe
1.0
5.3047 0.0000 0.0000
0.0000 5.3047 0.0000
0.0000 0.0000 5.3047
La V Se
3 1 1
direct
0.0000 0.0000 0.5000
0.0000 0.5000 0.0000
0.5000 0.0000 0.0000
0.0000 0.0000 0.0000
0.5000 0.5000 0.5000
```

Crystal system: cubic
Space group: Pm-3m

=====

First-principles (GGA-PBE) data for a relaxed La3V5Se12 crystal, as listed in Alexandria.

```
La3V5Se12
1.0
-7.9947 7.9947 7.9947
7.9947 -7.9947 7.9947
7.9947 7.9947 -7.9947
La V Se
12 20 48
direct
0.1250 0.2500 0.3750
0.1250 0.3750 0.7500
0.2500 0.3750 0.1250
0.2500 0.8750 0.6250
0.3750 0.1250 0.2500
0.3750 0.7500 0.1250
0.6250 0.2500 0.8750
0.6250 0.8750 0.7500
0.7500 0.1250 0.3750
0.7500 0.6250 0.8750
0.8750 0.6250 0.2500
0.8750 0.7500 0.6250
0.0000 0.0000 0.0000
0.0000 0.0000 0.5000
0.0000 0.5000 0.0000
0.0000 0.5000 0.5000
0.1250 0.7500 0.8750
0.1250 0.8750 0.2500
0.2500 0.1250 0.8750
0.2500 0.6250 0.3750
0.3750 0.2500 0.6250
0.3750 0.6250 0.7500
0.5000 0.0000 0.0000
0.5000 0.0000 0.5000
0.5000 0.5000 0.0000
0.5000 0.5000 0.5000
0.6250 0.3750 0.2500
0.6250 0.7500 0.3750
0.7500 0.3750 0.6250
0.7500 0.8750 0.1250
0.8750 0.1250 0.7500
0.8750 0.2500 0.1250
0.0255 0.2054 0.1163
0.0255 0.3202 0.9093
0.0891 0.7054 0.6798
0.0891 0.8837 0.4093
0.0907 0.6163 0.4109
0.0907 0.9745 0.6798
0.1163 0.0255 0.2054
0.1163 0.5907 0.9109
0.1798 0.2054 0.5891
0.1798 0.4745 0.5907
0.2054 0.1163 0.0255
0.2054 0.5891 0.1798
0.2946 0.3202 0.9109
0.2946 0.4745 0.3837
0.3202 0.9093 0.0255
0.3202 0.9109 0.2946
0.3837 0.2946 0.4745
0.3837 0.5891 0.9093
0.4093 0.0891 0.8837
0.4093 0.8202 0.5255
0.4109 0.0907 0.6163
0.4109 0.8202 0.7946
0.4745 0.3837 0.2946
0.4745 0.5907 0.1798
0.5255 0.4093 0.8202
0.5255 0.6163 0.7054
0.5891 0.1798 0.2054
0.5891 0.9093 0.3837
0.5907 0.1798 0.4745
0.5907 0.9109 0.1163
0.6163 0.4109 0.0907
0.6163 0.7054 0.5255
0.6798 0.0891 0.7054
0.6798 0.0907 0.9745
0.7054 0.5255 0.6163
0.7054 0.6798 0.0891
0.7946 0.4109 0.8202
0.7946 0.8837 0.9745
0.8202 0.5255 0.4093
0.8202 0.7946 0.4109
0.8837 0.4093 0.0891
0.8837 0.9745 0.7946
0.9093 0.0255 0.3202
0.9093 0.3837 0.5891
0.9109 0.1163 0.5907
0.9109 0.2946 0.3202
0.9745 0.6798 0.0907
0.9745 0.7946 0.8837
```

Crystal system: cubic
Space group: Ia-3d

=====

First-principles (GGA-PBE) data for a relaxed LaW2Se crystal, as listed in Alexandria.

```
LaW2Se
1.0
1.5236 0.8796 9.7252
-1.5236 0.8796 9.7252
0.0000 -1.7593 9.7252
La W Se
1 2 1
direct
0.0000 0.0000 0.0000
0.2345 0.2345 0.2345
0.7655 0.7655 0.7655
0.5000 0.5000 0.5000
```

Crystal system: trigonal
Space group: R-3m
Excess energy over the best structure of this formula in the dataset (eV per atom): 0.6972

=====

First-principles (GGA-PBE) data for a relaxed LaWSe2 crystal, as listed in Alexandria.

```
LaWSe2
1.0
2.2116 -2.5765 0.0000
2.2116 2.5765 0.0000
0.0000 0.0000 7.1202
La W Se
1 1 2
direct
0.0000 0.0000 0.0000
0.0000 0.0000 0.5000
0.5000 0.5000 0.2883
0.5000 0.5000 0.7117
```

Crystal system: orthorhombic
Space group: Cmmm
Excess energy over the best structure of this formula in the dataset (eV per atom): 0.3533

=====

First-principles (GGA-PBE) data for a relaxed LaWSe2 crystal, as listed in Alexandria.

```
LaWSe2
1.0
3.4538 0.0000 0.0000
0.0000 4.0552 0.0000
-0.0252 0.0000 6.4313
La W Se
1 1 2
direct
0.0000 0.0000 0.0000
0.5000 0.0000 0.5000
0.4964 0.5000 0.7391
0.5036 0.5000 0.2609
```

Crystal system: monoclinic
Space group: P2/m
Excess energy over the best structure of this formula in the dataset (eV per atom): 0.2003

=====

First-principles (GGA-PBE) data for a relaxed LaW2Se crystal, as listed in Alexandria.

```
LaW2Se
1.0
2.8159 -5.4671 0.0000
2.8159 5.4671 0.0000
-2.0467 0.0000 2.7322
La W Se
1 2 1
direct
0.0000 0.0000 0.0000
0.0000 0.5000 0.5000
0.5000 0.0000 0.5000
0.5000 0.5000 0.0000
```

Crystal system: monoclinic
Space group: C2/m
Excess energy over the best structure of this formula in the dataset (eV per atom): 0.3875

=====

First-principles (GGA-PBE) data for a relaxed LaW2Se crystal, as listed in Alexandria.

```
LaW2Se
1.0
-2.0229 2.0229 10.7300
2.0229 -2.0229 10.7300
2.0229 2.0229 -10.7300
La W Se
2 4 2
direct
0.0000 0.0000 0.0000
0.7500 0.2500 0.5000
0.1741 0.6250 0.0491
0.3750 0.4241 0.5491
0.5759 0.1250 0.9509
0.8750 0.8259 0.4509
0.2500 0.7500 0.5000
0.5000 0.5000 0.0000
```

Crystal system: tetragonal
Space group: I-42d
Excess energy over the best structure of this formula in the dataset (eV per atom): 0.4267

=====

In eV/atom, the VASP energy values for the records above are, in order, -6.18, -6.76, -5.44, -5.60, -6.20, -7.81, -6.49, -6.64, -8.12, -8.08.